Below is CuSiMo at its PBEsol-relaxed geometry, with properties calculated at the SCAN level.

Lattice parameters (Å, degrees): 2.686 4.080 4.080 120.00 90.00 90.00
Positions (direct):
Mo 0.000 0.333 0.667
Cu 0.500 0.000 0.000
Si 0.500 0.667 0.333

Output
**E_tot**: -20.08 eV per atom
**Space group**: P-6m2, No. 187
**Uncorrected formation energy**: -0.05 eV/atom
**Total magnetization**: 0.000 Bohr magnetons per cell